The following is a PBE-GGA calculation of VCo3Ge after structural relaxation, from the Alexandria database.

For the density of states at the Fermi level, the calculation gives 7.70 states/eV/cell. The formation energy comes out at 0.933 eV/atom. The calculation puts the raw total energy at -6.077 eV/atom. The value obtained for the energy above the most stable polymorph in this dataset is 898 meV/atom. As for the total magnetization: 4.7 μB/f.u. The value obtained for the density is 6.52 g/cm3.

The structure belongs to space group Pm-3m (No. 221); the cell edges are 4.244, 4.244 and 4.244 Å and the angles 90.00°, 90.00° and 90.00°. Symmetry generates all atoms from V at (0.000, 0.000, 0.000), Co at (0.000, 0.500, 0.500) and Ge at (0.500, 0.500, 0.500).

***

The following is a PBE-GGA calculation of LaPr2Zn2Ga2 after structural relaxation, from the Alexandria database.

For the density of states at the Fermi level, the calculation gives 13.37 states/eV/cell. The formation energy comes out at -0.402 eV/atom. The calculation puts the raw total energy at -3.700 eV/atom. As for the total magnetization: 0.0 μB/f.u. The value obtained for the density is 6.56 g/cm3.

The structure belongs to space group R-3m (No. 166, hexagonal axes); the cell edges are 4.5501, 4.5501 and 29.2638 Å and the angles 90.00°, 90.00° and 120.00°. Symmetry generates all atoms from La at (0.0000, 0.0000, 0.0000), Pr at (0.0000, 0.0000, 0.1282), Zn at (0.0000, 0.0000, 0.4026) and Ga at (0.0000, 0.0000, 0.2630).

***

The following is a PBE-GGA calculation of Li2Ac3Ga3 after structural relaxation, from the Alexandria database.

For the density of states at the Fermi level, the calculation gives 25.31 states/eV/cell. The formation energy comes out at -0.378 eV/atom. The calculation puts the raw total energy at -3.532 eV/atom. As for the total magnetization: 0.0 μB/f.u. The value obtained for the density is 6.92 g/cm3.

The structure belongs to space group Cmcm (No. 63); the cell edges are 4.937, 10.840 and 16.221 Å and the angles 90.00°, 90.00° and 90.00°. Symmetry generates all atoms from Li at (0.000, 0.202, 0.088), Ac at (0.000, 0.109, 0.609), Ac at (0.000, 0.400, 0.750), Ga at (0.000, 0.301, 0.250) and Ga at (0.000, 0.399, 0.542).

***

The following is a PBE-GGA calculation of Pm6SmYHo2 after structural relaxation, from the Alexandria database.

For the density of states at the Fermi level, the calculation gives 56.90 states/eV/cell. The formation energy comes out at 0.114 eV/atom. The calculation puts the raw total energy at -4.771 eV/atom. As for the total magnetization: 0.0 μB/f.u. The value obtained for the density is 7.06 g/cm3.

The structure belongs to space group C2/c (No. 15); the cell edges are 9.225, 15.290 and 9.684 Å and the angles 90.00°, 97.51° and 90.00°. Symmetry generates all atoms from Pm at (0.063, 0.180, 0.445), Pm at (0.099, 0.391, 0.620), Pm at (0.211, 0.225, 0.816), Sm at (0.000, 0.027, 0.750), Y at (0.000, 0.409, 0.250) and Ho at (0.250, 0.050, 0.046).

***

The following is a PBE-GGA calculation of TlBi3Pd after structural relaxation, from the Alexandria database.

For the density of states at the Fermi level, the calculation gives 3.04 states/eV/cell. The formation energy comes out at -0.105 eV/atom. The calculation puts the raw total energy at -3.945 eV/atom. The value obtained for the energy above the most stable polymorph in this dataset is 0 meV/atom. As for the total magnetization: 0.0 μB/f.u. The value obtained for the density is 10.46 g/cm3.

The structure belongs to space group Pmn2_1 (No. 31); the cell edges are 7.120, 6.443 and 6.490 Å and the angles 90.00°, 90.00° and 90.00°. Symmetry generates all atoms from Tl at (0.000, 0.219, 0.000), Bi at (0.000, 0.856, 0.603), Bi at (0.247, 0.281, 0.509) and Pd at (0.000, 0.554, 0.301).